Record 1
First-principles (PBE) data for a geometry-optimized Th4CoCN2 structure, as listed in the Alexandria database.

a b c (Å): 6.486 3.753 6.550
angles (deg): 90.00 107.44 90.00
Space group P2/m (No. 10)
Asymmetric unit:
Th 0.233 0.000 0.237 [2 per cell]
Th 0.249 0.500 0.753 [2 per cell]
Co 0.500 0.500 0.500 [1 per cell]
C 0.500 0.000 0.000 [1 per cell]
N 0.000 0.000 0.500 [1 per cell]
N 0.000 0.500 0.000 [1 per cell]

Summary:
Magnetization in Bohr magnetons per cell: 0.0
VASP energy in eV/cell: -68.80
Density in g/cm3: 11.21

---

Record 2
First-principles (PBE) data for a geometry-optimized CaTlH2 structure, as listed in the Alexandria database.

a b c (Å): 6.329 6.329 6.329
angles (deg): 90.00 90.00 90.00
Space group Fm-3m (No. 225)
Asymmetric unit:
Ca 0.000 0.000 0.000 [4 per cell]
Tl 0.000 0.000 0.500 [4 per cell]
H 0.250 0.250 0.250 [8 per cell]

Summary:
Magnetization in Bohr magnetons per cell: 0.0
Polymorph energy (0 for the lowest one) in meV per atom: 377
VASP energy in eV/cell: -42.78
Density in g/cm3: 6.46

---

Record 3
First-principles (PBE) data for a geometry-optimized BPdI3 structure, as listed in the Alexandria database.

a b c (Å): 5.491 5.491 5.491
angles (deg): 90.00 90.00 90.00
Space group Pm-3m (No. 221)
Asymmetric unit:
B 0.000 0.000 0.000 [1 per cell]
Pd 0.500 0.500 0.500 [1 per cell]
I 0.000 0.500 0.500 [3 per cell]

Summary:
Magnetization in Bohr magnetons per cell: 0.0
Polymorph energy (0 for the lowest one) in meV per atom: 0
VASP energy in eV/cell: -11.84
Density in g/cm3: 4.99

---

Record 4
First-principles (PBE) data for a geometry-optimized La5Y2Ho5 structure, as listed in the Alexandria database.

a b c (Å): 15.465 5.122 11.443
angles (deg): 90.00 116.74 90.00
Space group C2/m (No. 12)
Asymmetric unit:
La 0.000 0.000 0.000 [2 per cell]
La 0.081 0.000 0.749 [4 per cell]
La 0.248 0.000 0.250 [4 per cell]
Y 0.166 0.000 0.499 [4 per cell]
Ho 0.000 0.500 0.500 [2 per cell]
Ho 0.084 0.500 0.253 [4 per cell]
Ho 0.167 0.500 0.000 [4 per cell]

Summary:
Magnetization in Bohr magnetons per cell: 0.0
Energy relative to the elements in eV per formula unit: 0.363
VASP energy in eV/cell: -120.18
Density in g/cm3: 6.96

---

Record 5
First-principles (PBE) data for a geometry-optimized Ho2AlGe2Ir5 structure, as listed in the Alexandria database.

a b c (Å): 9.691 9.691 3.599
angles (deg): 90.00 90.00 90.00
Space group P4/mbm (No. 127)
Asymmetric unit:
Ho 0.174 0.326 0.000 [4 per cell]
Al 0.000 0.000 0.000 [2 per cell]
Ge 0.126 0.626 0.000 [4 per cell]
Ir 0.000 0.500 0.500 [2 per cell]
Ir 0.064 0.796 0.500 [8 per cell]

Summary:
Magnetization in Bohr magnetons per cell: 0.0
Energy relative to the elements in eV per formula unit: -6.958
VASP energy in eV/cell: -146.79
Density in g/cm3: 14.38

---

Record 6
First-principles (PBE) data for a geometry-optimized Tl2Tc3 structure, as listed in the Alexandria database.

a b c (Å): 4.6066 4.6066 5.6202
angles (deg): 90.00 90.00 120.00
Space group P-3m1 (No. 164)
Asymmetric unit:
Tl 0.3333 0.6667 0.3042 [2 per cell]
Tc 0.0000 0.0000 0.5000 [1 per cell]
Tc 0.3333 0.6667 0.8173 [2 per cell]

Summary:
Magnetization in Bohr magnetons per cell: 5.8
Polymorph energy (0 for the lowest one) in meV per atom: 677
Energy relative to the elements in eV per formula unit: 6.673
VASP energy in eV/cell: -29.16
Density in g/cm3: 11.30

---

Record 7
First-principles (PBE) data for a geometry-optimized NbSiIr3 structure, as listed in the Alexandria database.

a b c (Å): 4.783 4.783 4.783
angles (deg): 90.00 90.00 90.00
Space group Pm-3m (No. 221)
Asymmetric unit:
Nb 0.000 0.000 0.000 [1 per cell]
Si 0.500 0.500 0.500 [1 per cell]
Ir 0.000 0.000 0.500 [3 per cell]

Summary:
Magnetization in Bohr magnetons per cell: 0.0
Polymorph energy (0 for the lowest one) in meV per atom: 1156
VASP energy in eV/cell: -33.64
Density in g/cm3: 10.59

---

Record 8
First-principles (PBE) data for a geometry-optimized VSi2Pt structure, as listed in the Alexandria database.

a b c (Å): 4.099 4.099 3.237
angles (deg): 90.00 90.00 90.00
Space group P4/mmm (No. 123)
Asymmetric unit:
V 0.000 0.000 0.000 [1 per cell]
Si 0.000 0.500 0.500 [2 per cell]
Pt 0.500 0.500 0.000 [1 per cell]

Summary:
Magnetization in Bohr magnetons per cell: 0.7
VASP energy in eV/cell: -27.61
Density in g/cm3: 9.23

---

Record 9
First-principles (PBE) data for a geometry-optimized TiAl2Fe2 structure, as listed in the Alexandria database.

a b c (Å): 7.113 7.113 2.658
angles (deg): 90.00 90.00 90.00
Space group P4/mbm (No. 127)
Asymmetric unit:
Ti 0.000 0.000 0.000 [2 per cell]
Al 0.131 0.369 0.000 [4 per cell]
Fe 0.165 0.665 0.500 [4 per cell]

Summary:
Magnetization in Bohr magnetons per cell: 4.5
Polymorph energy (0 for the lowest one) in meV per atom: 65
Energy relative to the elements in eV per formula unit: -1.093
VASP energy in eV/cell: -66.80
Density in g/cm3: 5.27

---

Record 10
First-principles (PBE) data for a geometry-optimized Ca2TeRu structure, as listed in the Alexandria database.

a b c (Å): 3.535 3.535 8.608
angles (deg): 90.00 90.00 90.00
Space group P4mm (No. 99)
Asymmetric unit:
Ca 0.000 0.000 0.000 [1 per cell]
Ca 0.500 0.500 0.366 [1 per cell]
Te 0.500 0.500 0.740 [1 per cell]
Ru 0.000 0.000 0.612 [1 per cell]

Summary:
Magnetization in Bohr magnetons per cell: 0.0
VASP energy in eV/cell: -16.97
Density in g/cm3: 4.77

---

Record 11
First-principles (PBE) data for a geometry-optimized Cr4Hg structure, as listed in the Alexandria database.

a b c (Å): 3.819 3.819 10.046
angles (deg): 90.00 90.00 90.00
Space group I4/mmm (No. 139)
Asymmetric unit:
Cr 0.000 0.000 0.120 [4 per cell]
Cr 0.000 0.500 0.250 [4 per cell]
Hg 0.000 0.000 0.500 [2 per cell]

Summary:
Magnetization in Bohr magnetons per cell: 1.4
Polymorph energy (0 for the lowest one) in meV per atom: 0
Energy relative to the elements in eV per formula unit: 3.478
VASP energy in eV/cell: -70.63
Density in g/cm3: 9.26

---

Record 12
First-principles (PBE) data for a geometry-optimized YZn3Pt3 structure, as listed in the Alexandria database.

a b c (Å): 6.800 6.800 6.800
angles (deg): 90.00 90.00 90.00
Space group Pm-3n (No. 223)
Asymmetric unit:
Y 0.000 0.000 0.000 [2 per cell]
Zn 0.000 0.250 0.500 [6 per cell]
Pt 0.000 0.500 0.250 [6 per cell]

Summary:
Magnetization in Bohr magnetons per cell: 0.0
Energy relative to the elements in eV per formula unit: -0.416
VASP energy in eV/cell: -57.65
Density in g/cm3: 9.19